A geometry-optimized LaTb6Y2 structure. Source: Alexandria via LeMat-Bulk, functional PBE.

Unit cell a=7.4188 b=7.4188 c=6.1351 alpha=90.00 beta=90.00 gamma=120.00
With the nearest neighbours (Å) after each atom.
Space group P-3m1 (No. 164)
Symmetry-distinct sites (fractional):
La1 0.0000 0.0000 0.0000 x1  6 Tb 3.01
Tb1 0.1862 0.3725 0.7030 x6  1 La 3.01, 2 Tb 3.27
Y1 0.3333 0.6667 0.2129 x2  12 Tb 3.55-3.75

Computed properties:
As for the density of states at the Fermi level: 14.75 states/eV/f.u.

A geometry-optimized LaTb4Y structure. Source: Alexandria via LeMat-Bulk, functional PBE.

Unit cell a=18.6945 b=3.5995 c=6.2053 alpha=90.00 beta=109.37 gamma=90.00
With the nearest neighbours (Å) after each atom.
Space group C2/m (No. 12)
Symmetry-distinct sites (fractional):
La1 0.0000 0.0000 0.0000 x2  4 Y 3.59, 2 La 3.60, 6 Tb 3.61-3.63
Tb1 0.1676 0.0000 0.8344 x4  9 Tb 3.54-3.60, 1 La 3.61, 2 Y 3.61
Tb2 0.1691 0.5000 0.3354 x4  9 Tb 3.53-3.60, 1 Y 3.63, 2 La 3.63
Y1 0.0000 0.5000 0.5000 x2  4 La 3.59, 2 Y 3.60, 6 Tb 3.61-3.63

Computed properties:
As for the density of states at the Fermi level: 8.45 states/eV/f.u. The calculation puts the energy above the most stable polymorph in this dataset at 0 kJ/mol of formula units.

A geometry-optimized La12TbY3 structure. Source: Alexandria via LeMat-Bulk, functional PBE.

Unit cell a=5.2171 b=5.2171 c=20.8542 alpha=90.00 beta=90.00 gamma=90.00
With the nearest neighbours (Å) after each atom.
Space group P4/mmm (No. 123)
Symmetry-distinct sites (fractional):
La1 0.0000 0.0000 0.0000 x1  8 La 3.68, 4 Tb 3.69
La2 0.0000 0.0000 0.2493 x2  8 La 3.69, 4 Y 3.69
La3 0.0000 0.0000 0.5000 x1  4 Y 3.69, 8 La 3.69
La4 0.0000 0.5000 0.1244 x4  2 Tb 3.68, 8 La 3.68-3.69, 2 Y 3.69
La5 0.0000 0.5000 0.3747 x4  4 Y 3.69, 8 La 3.69
Tb1 0.5000 0.5000 0.0000 x1  12 La 3.68-3.69
Y1 0.5000 0.5000 0.2497 x2  12 La 3.69
Y2 0.5000 0.5000 0.5000 x1  12 La 3.69

Computed properties:
As for the density of states at the Fermi level: 21.87 states/eV/f.u.

A geometry-optimized La9Tb2Y structure. Source: Alexandria via LeMat-Bulk, functional PBE.

Unit cell a=5.2110 b=5.2110 c=15.6287 alpha=90.00 beta=90.00 gamma=90.00
With the nearest neighbours (Å) after each atom.
Space group P4/mmm (No. 123)
Symmetry-distinct sites (fractional):
La1 0.0000 0.0000 0.0000 x1  4 Y 3.68, 8 La 3.69
La2 0.0000 0.0000 0.3338 x2  8 La 3.68, 4 Tb 3.68
La3 0.0000 0.5000 0.1673 x4  2 Tb 3.68, 8 La 3.68-3.69, 2 Y 3.69
La4 0.0000 0.5000 0.5000 x2  8 La 3.68, 4 Tb 3.69
Tb1 0.5000 0.5000 0.3332 x2  12 La 3.68-3.69
Y1 0.5000 0.5000 0.0000 x1  12 La 3.68-3.69

Computed properties:
As for the density of states at the Fermi level: 16.22 states/eV/f.u.

A geometry-optimized La2Tb2Y3 structure. Source: Alexandria via LeMat-Bulk, functional PBE.

Unit cell a=3.5522 b=5.6061 c=23.6021 alpha=90.00 beta=90.00 gamma=90.00
With the nearest neighbours (Å) after each atom.
Space group Immm (No. 71)
Symmetry-distinct sites (fractional):
La1 0.0000 0.0000 0.0708 x4  2 Tb 3.30, 3 La 3.34-3.55
Tb1 0.0000 0.5000 0.1444 x4  2 La 3.30, 5 Y 3.42-3.67, 2 Tb 3.55
Y1 0.0000 0.0000 0.5000 x2  2 Y 3.55, 8 La 3.72, 4 Tb 3.84
Y2 0.0000 0.5000 0.2894 x4  5 Tb 3.42-3.67, 6 Y 3.55-3.80, 2 La 3.75

Computed properties:
As for the density of states at the Fermi level: 13.64 states/eV/f.u. The calculation puts the energy above the most stable polymorph in this dataset at 28 kJ/mol of formula units.

A geometry-optimized La2Tb4Y3 structure. Source: Alexandria via LeMat-Bulk, functional PBE.

Unit cell a=15.2996 b=5.1154 c=8.0621 alpha=90.00 beta=108.49 gamma=90.00
With the nearest neighbours (Å) after each atom.
Space group C2/m (No. 12)
Symmetry-distinct sites (fractional):
La1 0.1657 0.0000 0.0010 x4  5 Y 3.60-3.63, 5 Tb 3.61-3.66, 2 La 3.64
Tb1 0.0566 0.0000 0.3381 x4  4 Tb 3.56-3.60, 6 Y 3.57-3.64, 2 La 3.61-3.63
Tb2 0.2223 0.5000 0.3378 x4  5 Tb 3.56-3.60, 4 Y 3.57-3.62, 3 La 3.63-3.66
Y1 0.0000 0.5000 0.0000 x2  4 La 3.60, 2 Y 3.62, 6 Tb 3.62-3.64
Y2 0.1100 0.5000 0.6635 x4  2 Y 3.56-3.62, 7 Tb 3.57-3.62, 3 La 3.63

Computed properties:
As for the density of states at the Fermi level: 14.62 states/eV/f.u. The calculation puts the energy above the most stable polymorph in this dataset at 0 kJ/mol of formula units.

A geometry-optimized La2Tb4Y structure. Source: Alexandria via LeMat-Bulk, functional PBE.

Unit cell a=5.5697 b=5.5697 c=17.4777 alpha=90.00 beta=90.00 gamma=90.00
With the nearest neighbours (Å) after each atom.
Space group I4/mmm (No. 139)
Symmetry-distinct sites (fractional):
La1 0.0000 0.0000 0.1249 x4  5 Tb 3.46-3.54
Tb1 0.0000 0.0000 0.3231 x4  1 Y 3.09
Tb2 0.0000 0.5000 0.0000 x4  2 Y 2.78
Y1 0.0000 0.0000 0.5000 x2  6 Tb 2.78-3.09

Computed properties:
As for the density of states at the Fermi level: 9.43 states/eV/f.u. The calculation puts the energy above the most stable polymorph in this dataset at 414 kJ/mol of formula units.

A geometry-optimized LaTb4Y3 structure. Source: Alexandria via LeMat-Bulk, functional PBE.

Unit cell a=11.4279 b=7.3393 c=6.3264 alpha=90.00 beta=90.00 gamma=90.00
With the nearest neighbours (Å) after each atom.
Space group Pmn2_1 (No. 31)
Symmetry-distinct sites (fractional):
La1 0.0000 0.1278 0.0000 x2  6 Tb 3.56-3.70, 6 Y 3.57-3.70
Tb1 0.0000 0.3782 0.5082 x2  6 Tb 3.52-3.65, 4 Y 3.56-3.71, 2 La 3.61-3.70
Tb2 0.0000 0.6236 0.0060 x2  6 Tb 3.53-3.65, 4 Y 3.56-3.66, 2 La 3.64-3.70
Tb3 0.2476 0.6234 0.3392 x4  6 Tb 3.52-3.65, 5 Y 3.52-3.69, 1 La 3.56
Y1 0.0000 0.8721 0.5039 x2  6 Tb 3.52-3.71, 4 Y 3.56-3.57, 2 La 3.66-3.70
Y2 0.2493 0.1267 0.3396 x4  6 Tb 3.56-3.69, 4 Y 3.56-3.67, 2 La 3.57

Computed properties:
As for the density of states at the Fermi level: 13.37 states/eV/f.u. The calculation puts the energy above the most stable polymorph in this dataset at 0 kJ/mol of formula units.

A geometry-optimized LaTb3Y8 structure. Source: Alexandria via LeMat-Bulk, functional PBE.

Unit cell a=8.7064 b=8.7064 c=11.4147 alpha=90.00 beta=90.00 gamma=90.00
With the nearest neighbours (Å) after each atom.
Space group I-42m (No. 121)
Symmetry-distinct sites (fractional):
La1 0.0000 0.0000 0.0000 x2  8 Y 3.12-3.28
Tb1 0.0000 0.0000 0.5000 x2  8 Y 3.04-3.22
Tb2 0.0000 0.5000 0.2500 x4  4 Y 3.44
Y1 0.1258 0.1258 0.7469 x8  3 Y 3.10-3.25, 3 Tb 3.22-3.44, 1 La 3.28
Y2 0.2468 0.2468 0.4936 x8  1 Tb 3.04, 1 La 3.12, 2 Y 3.22-3.25

Computed properties:
As for the density of states at the Fermi level: 19.60 states/eV/f.u.

A geometry-optimized La5TbY4 structure. Source: Alexandria via LeMat-Bulk, functional PBE.

Unit cell a=3.7043 b=3.7043 c=25.2687 alpha=90.00 beta=90.00 gamma=90.00
With the nearest neighbours (Å) after each atom.
Space group P4/mmm (No. 123)
Symmetry-distinct sites (fractional):
La1 0.0000 0.0000 0.0000 x1  8 Y 3.64, 4 La 3.70
La2 0.0000 0.0000 0.2002 x2  8 Y 3.64, 4 La 3.70
La3 0.0000 0.0000 0.4006 x2  4 Tb 3.63, 4 Y 3.65, 4 La 3.70
Tb1 0.5000 0.5000 0.5000 x1  8 La 3.63, 4 Tb 3.70
Y1 0.5000 0.5000 0.1000 x2  8 La 3.64, 4 Y 3.70
Y2 0.5000 0.5000 0.3002 x2  8 La 3.64-3.65, 4 Y 3.70

Computed properties:
As for the density of states at the Fermi level: 16.90 states/eV/f.u. The calculation puts the energy above the most stable polymorph in this dataset at 0 kJ/mol of formula units.

A geometry-optimized La2TbY3 structure. Source: Alexandria via LeMat-Bulk, functional PBE.

Unit cell a=9.0855 b=10.0040 c=9.1191 alpha=90.00 beta=101.11 gamma=90.00
With the nearest neighbours (Å) after each atom.
Space group C2/c (No. 15)
Symmetry-distinct sites (fractional):
La1 0.1249 0.2498 0.1251 x8  2 La 3.51-3.52, 9 Y 3.76-3.78, 3 Tb 3.77-3.78
Tb1 0.0000 0.0838 0.7500 x4  5 Y 3.33-3.51
Y1 0.0000 0.4162 0.7500 x4  1 Tb 3.33, 4 Y 3.35-3.52
Y2 0.2485 0.0828 0.4998 x8  2 Tb 3.33-3.51, 3 Y 3.34-3.52

Computed properties:
As for the density of states at the Fermi level: 9.79 states/eV/f.u.

A geometry-optimized LaTb2Y8 structure. Source: Alexandria via LeMat-Bulk, functional PBE.

Unit cell a=16.5717 b=6.7195 c=6.7144 alpha=90.00 beta=99.34 gamma=90.00
With the nearest neighbours (Å) after each atom.
Space group C2/m (No. 12)
Symmetry-distinct sites (fractional):
La1 0.0000 0.0000 0.0000 x2  8 Y 3.43-3.76
Tb1 0.2422 0.0000 0.3000 x4  9 Y 3.26-3.54
Y1 0.0890 0.5000 0.9053 x4  1 Tb 3.31, 4 Y 3.39-3.68
Y2 0.0910 0.2652 0.4116 x8  3 Y 3.16-3.45, 2 Tb 3.26-3.48, 1 La 3.43
Y3 0.2089 0.0000 0.7931 x4  4 Tb 3.36-3.54, 3 Y 3.45-3.62

Computed properties:
As for the density of states at the Fermi level: 20.13 states/eV/f.u. The calculation puts the energy above the most stable polymorph in this dataset at 35 kJ/mol of formula units.

What total magnetization values result from the calculations? In sequence: 0.0; 0.0; 0.0; 0.0; 0.0; 0.0; 0.6; 0.0; 0.0; 0.0; 0.0; 0.0 μB per formula unit.
What formation energy values result from the calculations? In sequence: 0.20; 0.02; 0.01; 0.01; 0.07; 0.03; 0.64; 0.02; 0.66; 0.02; 0.07; 0.17 eV/atom.